! LiAg2As | Alexandria via LeMat-Bulk | PBE-GGA | relaxed; values from VASP
! Calculated formation energy: 4.2 kJ per mole of atoms
! Energy: -12.1 eV per cell
! Total magnetization: 0.000 μB/atom
&SYSTEM
  ibrav = 0, nat = 4, ntyp = 3
/
ATOMIC_SPECIES
Ag 107.87 Ag.upf
As 74.92 As.upf
Li 6.94 Li.upf
CELL_PARAMETERS angstrom
-8.407 -3.321 2.071
-7.131 -3.496 4.787
-8.375 -0.917 3.875
ATOMIC_POSITIONS angstrom
Ag -0.059 -0.019 0.026
Ag -11.898 -3.848 5.340
As -5.978 -1.934 2.683
Li -17.935 -5.801 8.049

***

! AlReMo2 | Alexandria via LeMat-Bulk | PBE-GGA | relaxed; values from VASP
! Calculated formation energy: -4.6 kJ per mole of atoms
! Energy: -38.0 eV per cell
! Total magnetization: 0.000 μB/atom
&SYSTEM
  ibrav = 0, nat = 4, ntyp = 3
/
ATOMIC_SPECIES
Re 186.21 Re.upf
Mo 95.94 Mo.upf
Al 26.98 Al.upf
CELL_PARAMETERS angstrom
4.414 0.000 0.000
2.207 3.823 0.000
2.207 1.274 3.604
ATOMIC_POSITIONS angstrom
Re 6.621 3.823 2.703
Mo 0.000 0.000 0.000
Mo 2.207 1.274 0.901
Al 4.414 2.549 1.802

***

- The highest calculated formation energy belongs to which entry?
  LiAg2As

***

- Which formula does entry 1 have?
  LiAg2As

***

- The highest energy belongs to which entry?
  LiAg2As